Record 1
Here is a relaxed BaZrMnTl2 crystal from Alexandria. Energies are from PBE.

Geometry as POSCAR:
```
BaZrMnTl2
1.0
5.7774 0.0000 0.0000
0.0000 5.7774 0.0000
0.0000 0.0000 4.8976
Ba Zr Mn Tl
1 1 1 2
Direct
0.0000 0.0000 0.0000
0.5000 0.5000 0.5000
0.5000 0.5000 0.0000
0.0000 0.5000 0.5000
0.5000 0.0000 0.5000
```

## Properties
The space group is No. 123. The value obtained for the total moment is 2.877 Bohr magnetons per cell. The formation energy is 294 meV per atom. The calculation puts the total energy at -22.90 eV/cell.

***

Record 2
Here is a relaxed BiP2Pd crystal from Alexandria. Energies are from PBE.

Geometry as POSCAR:
```
BiP2Pd
1.0
5.8157 0.0000 0.0000
0.0000 5.8157 0.0000
0.0000 0.0000 11.6565
Bi P Pd
4 8 4
Direct
0.0000 0.0000 0.0000
0.0000 0.5000 0.2500
0.5000 0.0000 0.7500
0.5000 0.5000 0.5000
0.1909 0.2500 0.6250
0.2500 0.6909 0.8750
0.2500 0.8091 0.3750
0.3091 0.2500 0.1250
0.6909 0.7500 0.1250
0.7500 0.1909 0.3750
0.7500 0.3091 0.8750
0.8091 0.7500 0.6250
0.0000 0.0000 0.5000
0.0000 0.5000 0.7500
0.5000 0.0000 0.2500
0.5000 0.5000 0.0000
```

## Properties
The space group is No. 122. The value obtained for the total moment is 0.000 Bohr magnetons per cell. The formation energy is 49 meV per atom. The calculation puts the total energy at -78.80 eV/cell.